The following is a PBE-GGA calculation of a geometry-optimized Zn2AgAu5 structure, from Alexandria.

Computed properties:
The value obtained for the volume is 274.9 Å³/cell. The total magnetization is 0.00 Bohr magnetons per cell. Its crystal system is orthorhombic. The calculation puts the formation energy at -0.96 eV per formula unit.

abc: 5.798 11.633 4.075
angles: 90.00 90.00 90.00
Element x y z (fractional)
Zn  0.242  0.127  0.000
Zn  0.258  0.627  0.000
Zn  0.742  0.373  0.000
Zn  0.758  0.873  0.000
Ag  0.000  0.500  0.500
Ag  0.500  0.000  0.500
Au  0.000  0.000  0.500
Au  0.009  0.747  0.500
Au  0.245  0.378  0.000
Au  0.255  0.878  0.000
Au  0.491  0.247  0.500
Au  0.500  0.500  0.500
Au  0.509  0.753  0.500
Au  0.745  0.122  0.000
Au  0.755  0.622  0.000
Au  0.991  0.253  0.500

The following is a PBE-GGA calculation of a geometry-optimized ZnAg7Au4 structure, from Alexandria.

Computed properties:
The value obtained for the volume is 231.6 Å³/cell. The total magnetization is 0.00 Bohr magnetons per cell. Its crystal system is monoclinic. The calculation puts the formation energy at 1.29 eV per formula unit.

abc: 5.738 5.738 10.308
angles: 116.36 116.36 51.70
Element x y z (fractional)
Zn  0.000  0.000  0.000
Ag  0.037  0.037  0.381
Ag  0.198  0.198  0.919
Ag  0.343  0.343  0.457
Ag  0.500  0.500  0.000
Ag  0.657  0.657  0.543
Ag  0.802  0.802  0.081
Ag  0.963  0.963  0.619
Au  0.275  0.275  0.692
Au  0.417  0.417  0.228
Au  0.583  0.583  0.772
Au  0.725  0.725  0.308

The following is a PBE-GGA calculation of a geometry-optimized Zn4Ag2Au5 structure, from Alexandria.

Computed properties:
The value obtained for the volume is 197.4 Å³/cell. The total magnetization is 0.00 Bohr magnetons per cell. Its crystal system is monoclinic. The calculation puts the formation energy at -0.42 eV per formula unit.

abc: 6.612 6.612 6.175
angles: 104.03 104.03 49.35
Element x y z (fractional)
Zn  0.067  0.067  0.359
Zn  0.259  0.259  0.247
Zn  0.741  0.741  0.753
Zn  0.933  0.933  0.641
Ag  0.268  0.268  0.674
Ag  0.732  0.732  0.326
Au  0.147  0.649  0.077
Au  0.351  0.853  0.923
Au  0.500  0.500  0.500
Au  0.649  0.147  0.077
Au  0.853  0.351  0.923